--- one ---
A plane-wave DFT calculation with PBE was carried out for crystalline RbTiAl3 at its relaxed geometry.

Lattice parameters (Å, degrees): 5.2433 5.2433 5.2433 90.00 90.00 90.00
Sites, in units of the cell vectors:
Al  0.0000  0.0000  0.5000
Ti  0.0000  0.0000  0.0000
Rb  0.5000  0.5000  0.5000
Al  0.0000  0.5000  0.0000
Al  0.5000  0.0000  0.0000

***

--- two ---
A plane-wave DFT calculation with PBE was carried out for crystalline RbTiAl3 at its relaxed geometry.

Lattice parameters (Å, degrees): 5.3288 5.3288 5.3288 90.00 90.00 90.00
Sites, in units of the cell vectors:
Al  0.0000  0.0000  0.5000
Al  0.0000  0.5000  0.0000
Rb  0.0000  0.0000  0.0000
Ti  0.5000  0.5000  0.5000
Al  0.5000  0.0000  0.0000

***

Stability summary: most stable one, least stable two.

***

--- one ---
A plane-wave DFT calculation with PBE was carried out for crystalline RbAl2Tl2 at its relaxed geometry.

Lattice parameters (Å, degrees): 5.0135 5.0135 6.8582 68.56 68.56 90.00
Sites, in units of the cell vectors:
Al  0.6130  0.6130  0.7739
Tl  0.7500  0.2500  0.5000
Al  0.3870  0.3870  0.2261
Rb  0.0000  0.0000  0.0000
Tl  0.2500  0.7500  0.5000

***

--- two ---
A plane-wave DFT calculation with PBE was carried out for crystalline RbAl2Tl2 at its relaxed geometry.

Lattice parameters (Å, degrees): 4.7403 4.7403 7.3174 71.10 71.10 90.00
Sites, in units of the cell vectors:
Al  0.2500  0.7500  0.5000
Tl  0.3789  0.3789  0.2422
Rb  0.0000  0.0000  0.0000
Al  0.7500  0.2500  0.5000
Tl  0.6211  0.6211  0.7578

***

--- three ---
A plane-wave DFT calculation with PBE was carried out for crystalline RbAl2Tl2 at its relaxed geometry.

Lattice parameters (Å, degrees): 9.2011 9.2011 3.3829 90.00 90.00 90.00
Sites, in units of the cell vectors:
Tl  0.6479  0.1479  0.0000
Al  0.3629  0.1371  0.5000
Tl  0.1479  0.3521  0.0000
Al  0.1371  0.6371  0.5000
Al  0.6371  0.8629  0.5000
Rb  0.0000  0.0000  0.0000
Rb  0.5000  0.5000  0.0000
Al  0.8629  0.3629  0.5000
Tl  0.8521  0.6479  0.0000
Tl  0.3521  0.8521  0.0000

***

Stability summary: most stable one, least stable three.

***

--- one ---
A plane-wave DFT calculation with PBE was carried out for crystalline RbAlTl3 at its relaxed geometry.

Lattice parameters (Å, degrees): 6.3450 6.3450 6.3450 90.00 90.00 90.00
Sites, in units of the cell vectors:
Rb  0.0000  0.0000  0.0000
Tl  0.0000  0.5000  0.0000
Tl  0.0000  0.0000  0.5000
Tl  0.5000  0.0000  0.0000
Al  0.5000  0.5000  0.5000

***

--- two ---
A plane-wave DFT calculation with PBE was carried out for crystalline RbAlTl3 at its relaxed geometry.

Lattice parameters (Å, degrees): 5.6205 5.6205 5.6205 90.00 90.00 90.00
Sites, in units of the cell vectors:
Tl  0.0000  0.0000  0.5000
Al  0.0000  0.0000  0.0000
Tl  0.0000  0.5000  0.0000
Rb  0.5000  0.5000  0.5000
Tl  0.5000  0.0000  0.0000

***

Stability summary: most stable two, least stable one.

***

--- one ---
A plane-wave DFT calculation with PBE was carried out for crystalline RbAl2Tl at its relaxed geometry.

Lattice parameters (Å, degrees): 5.4178 5.4178 10.6562 75.27 75.27 90.00
Sites, in units of the cell vectors:
Al  0.8750  0.1251  0.7500
Tl  0.7500  0.2500  0.5000
Al  0.8751  0.1250  0.2500
Tl  0.0000  0.0000  0.0000
Rb  0.5000  0.5000  0.0000
Al  0.8749  0.6250  0.2500
Al  0.3750  0.1249  0.7500
Rb  0.2500  0.7500  0.5000

***

--- two ---
A plane-wave DFT calculation with PBE was carried out for crystalline RbAl2Tl at its relaxed geometry.

Lattice parameters (Å, degrees): 5.4200 5.4200 5.4200 60.00 60.00 60.00
Sites, in units of the cell vectors:
Al  0.2500  0.2500  0.2500
Tl  0.5000  0.5000  0.5000
Rb  0.0000  0.0000  0.0000
Al  0.7500  0.7500  0.7500

***

Stability summary: most stable one, least stable two.

***

--- one ---
A plane-wave DFT calculation with PBE was carried out for crystalline RbAl3Tl at its relaxed geometry.

Lattice parameters (Å, degrees): 5.5905 5.5905 5.5905 90.00 90.00 90.00
Sites, in units of the cell vectors:
Tl  0.0000  0.0000  0.0000
Al  0.0000  0.0000  0.5000
Al  0.0000  0.5000  0.0000
Rb  0.5000  0.5000  0.5000
Al  0.5000  0.0000  0.0000

***

--- two ---
A plane-wave DFT calculation with PBE was carried out for crystalline RbAl3Tl at its relaxed geometry.

Lattice parameters (Å, degrees): 6.0420 6.0420 6.0420 90.00 90.00 90.00
Sites, in units of the cell vectors:
Al  0.5000  0.0000  0.0000
Rb  0.0000  0.0000  0.0000
Tl  0.5000  0.5000  0.5000
Al  0.0000  0.5000  0.0000
Al  0.0000  0.0000  0.5000

***

Stability summary: most stable one, least stable two.

***

--- one ---
A plane-wave DFT calculation with PBE was carried out for crystalline RbAl2V at its relaxed geometry.

Lattice parameters (Å, degrees): 5.5817 5.5817 9.7613 73.39 73.39 90.00
Sites, in units of the cell vectors:
Rb  0.0000  0.0000  0.0000
Al  0.3750  0.6251  0.7500
V  0.5000  0.5000  0.0000
Al  0.8750  0.6249  0.7500
Rb  0.7500  0.2500  0.5000
V  0.2500  0.7500  0.5000
Al  0.3749  0.1250  0.2500
Al  0.3751  0.6250  0.2500

***

--- two ---
A plane-wave DFT calculation with PBE was carried out for crystalline RbAl2V at its relaxed geometry.

Lattice parameters (Å, degrees): 5.1220 5.1220 5.1220 60.00 60.00 60.00
Sites, in units of the cell vectors:
Al  0.7500  0.7500  0.7500
V  0.0000  0.0000  0.0000
Al  0.2500  0.2500  0.2500
Rb  0.5000  0.5000  0.5000

***

Stability summary: most stable one, least stable two.

***

--- one ---
A plane-wave DFT calculation with PBE was carried out for crystalline RbAl2V2 at its relaxed geometry.

Lattice parameters (Å, degrees): 4.5410 4.5410 6.2690 68.77 68.77 90.00
Sites, in units of the cell vectors:
Al  0.2500  0.7500  0.5000
V  0.5896  0.5896  0.8208
V  0.4104  0.4104  0.1792
Al  0.7500  0.2500  0.5000
Rb  0.0000  0.0000  0.0000

***

--- two ---
A plane-wave DFT calculation with PBE was carried out for crystalline RbAl2V2 at its relaxed geometry.

Lattice parameters (Å, degrees): 8.4403 8.4403 2.7696 90.00 90.00 90.00
Sites, in units of the cell vectors:
Rb  0.0000  0.0000  0.0000
V  0.1009  0.3991  0.0000
Al  0.8266  0.3266  0.5000
Rb  0.5000  0.5000  0.0000
V  0.6009  0.1009  0.0000
Al  0.3266  0.1734  0.5000
V  0.3991  0.8991  0.0000
V  0.8991  0.6009  0.0000
Al  0.6734  0.8266  0.5000
Al  0.1734  0.6734  0.5000

***

Stability summary: most stable two, least stable one.

***

--- one ---
A plane-wave DFT calculation with PBE was carried out for crystalline RbY3Al at its relaxed geometry.

Lattice parameters (Å, degrees): 5.4291 5.4291 5.4291 90.00 90.00 90.00
Sites, in units of the cell vectors:
Y  0.0000  0.5000  0.0000
Al  0.5000  0.5000  0.5000
Y  0.0000  0.0000  0.5000
Y  0.5000  0.0000  0.0000
Rb  0.0000  0.0000  0.0000

***

--- two ---
A plane-wave DFT calculation with PBE was carried out for crystalline RbY3Al at its relaxed geometry.

Lattice parameters (Å, degrees): 5.7805 5.7805 5.7805 90.00 90.00 90.00
Sites, in units of the cell vectors:
Y  0.5000  0.0000  0.0000
Y  0.0000  0.5000  0.0000
Rb  0.5000  0.5000  0.5000
Al  0.0000  0.0000  0.0000
Y  0.0000  0.0000  0.5000

***

Stability summary: most stable two, least stable one.

***

--- one ---
A plane-wave DFT calculation with PBE was carried out for crystalline Rb3YAl at its relaxed geometry.

Lattice parameters (Å, degrees): 6.8699 6.8699 6.8699 90.00 90.00 90.00
Sites, in units of the cell vectors:
Al  0.0000  0.0000  0.0000
Rb  0.0000  0.5000  0.0000
Y  0.5000  0.5000  0.5000
Rb  0.5000  0.0000  0.0000
Rb  0.0000  0.0000  0.5000

***

--- two ---
A plane-wave DFT calculation with PBE was carried out for crystalline Rb3YAl at its relaxed geometry.

Lattice parameters (Å, degrees): 7.2903 7.2903 7.2903 90.00 90.00 90.00
Sites, in units of the cell vectors:
Rb  0.0000  0.0000  0.5000
Rb  0.5000  0.0000  0.0000
Rb  0.0000  0.5000  0.0000
Al  0.5000  0.5000  0.5000
Y  0.0000  0.0000  0.0000

***

Stability summary: most stable one, least stable two.

***

--- one ---
A plane-wave DFT calculation with PBE was carried out for crystalline RbZrAl at its relaxed geometry.

Lattice parameters (Å, degrees): 9.0447 4.8197 8.7942 90.00 90.00 90.00
Sites, in units of the cell vectors:
Al  0.8140  0.2500  0.3537
Zr  0.6026  0.2500  0.0503
Zr  0.1026  0.2500  0.4497
Zr  0.8974  0.7500  0.5503
Al  0.3140  0.2500  0.1463
Zr  0.3974  0.7500  0.9497
Rb  0.0061  0.7500  0.1383
Rb  0.4939  0.2500  0.6383
Al  0.1860  0.7500  0.6463
Al  0.6860  0.7500  0.8537
Rb  0.5061  0.7500  0.3617
Rb  0.9939  0.2500  0.8617

***

--- two ---
A plane-wave DFT calculation with PBE was carried out for crystalline RbZrAl at its relaxed geometry.

Lattice parameters (Å, degrees): 5.2438 5.2438 8.7424 90.00 90.00 90.00
Sites, in units of the cell vectors:
Zr  0.5000  0.0000  0.5889
Zr  0.0000  0.5000  0.4111
Al  0.5000  0.5000  0.5000
Rb  0.5000  0.0000  0.1629
Rb  0.0000  0.5000  0.8371
Al  0.0000  0.0000  0.5000

***

--- three ---
A plane-wave DFT calculation with PBE was carried out for crystalline RbZrAl at its relaxed geometry.

Lattice parameters (Å, degrees): 6.0195 4.2609 13.0534 99.38 83.48 134.98
Sites, in units of the cell vectors:
Rb  0.4289  0.0968  0.8867
Zr  0.4348  0.2960  0.2802
Al  0.9338  0.7201  0.1306
Al  0.4341  0.7211  0.1315
Rb  0.9304  0.9341  0.5548
Zr  0.9350  0.2961  0.2801

***

Stability summary: most stable three, least stable one.

***

--- one ---
A plane-wave DFT calculation with PBE was carried out for crystalline RbZrAl at its relaxed geometry.

Lattice parameters (Å, degrees): 5.5381 5.5381 6.0235 90.00 90.00 120.00
Sites, in units of the cell vectors:
Rb  0.0000  0.0000  0.2881
Rb  0.0000  0.0000  0.7881
Al  0.3333  0.6667  0.9837
Zr  0.3333  0.6667  0.4782
Zr  0.6667  0.3333  0.9782
Al  0.6667  0.3333  0.4837

***

--- two ---
A plane-wave DFT calculation with PBE was carried out for crystalline RbZrAl at its relaxed geometry.

Lattice parameters (Å, degrees): 4.8645 5.6004 7.8067 82.77 89.99 89.98
Sites, in units of the cell vectors:
Rb  0.3545  0.3533  0.6140
Al  0.3541  0.9468  0.2587
Zr  0.8541  0.2280  0.1660
Zr  0.3542  0.4450  0.1521
Al  0.8542  0.6850  0.2751
Rb  0.8536  0.8370  0.7980

***

--- three ---
A plane-wave DFT calculation with PBE was carried out for crystalline RbZrAl at its relaxed geometry.

Lattice parameters (Å, degrees): 4.3917 3.7327 13.3533 91.01 99.09 90.01
Sites, in units of the cell vectors:
Rb  0.8401  0.2275  0.6674
Zr  0.5432  0.7557  0.0896
Zr  0.4568  0.2443  0.9104
Al  0.0363  0.2548  0.0754
Rb  0.1599  0.7725  0.3326
Al  0.9637  0.7452  0.9246

***

Stability summary: most stable three, least stable one.

***

--- one ---
A plane-wave DFT calculation with PBE was carried out for crystalline RbZrAl at its relaxed geometry.

Lattice parameters (Å, degrees): 4.2375 4.2375 14.6843 98.11 64.22 90.00
Sites, in units of the cell vectors:
Zr  0.7413  0.9060  0.2824
Al  0.9703  0.3318  0.1305
Zr  0.2505  0.4029  0.2763
Al  0.4702  0.8316  0.1305
Rb  0.8358  0.2122  0.8885
Rb  0.8288  0.5468  0.5556

***

--- two ---
A plane-wave DFT calculation with PBE was carried out for crystalline RbZrAl at its relaxed geometry.

Lattice parameters (Å, degrees): 5.6317 4.8534 9.9022 104.20 126.32 90.00
Sites, in units of the cell vectors:
Rb  0.1731  0.8402  0.6369
Zr  0.3179  0.6537  0.2658
Al  0.7179  0.5933  0.1449
Rb  0.8492  0.4203  0.7972
Zr  0.0925  0.1496  0.2574
Al  0.4740  0.1017  0.1617

***

Stability summary: most stable one, least stable two.